#P
# Sr2Bi2Pt

Sr2Bi2Pt after structural relaxation (PBE, the Alexandria database). Values from VASP.

Cell and atoms, written as Quantum ESPRESSO input:
```
&SYSTEM
  ibrav = 0, nat = 10, ntyp = 3
/
ATOMIC_SPECIES
Bi 208.98 Bi.upf
Sr 87.62 Sr.upf
Pt 195.08 Pt.upf
ATOMIC_POSITIONS angstrom
Bi 2.424 1.022 1.344
Sr 7.273 1.518 9.429
Bi 7.273 4.629 4.762
Sr 4.849 1.987 3.575
Bi 2.424 1.403 5.910
Pt 4.849 5.327 3.519
Sr 4.849 4.045 7.097
Pt 4.849 0.704 7.154
Sr 2.424 4.513 1.243
Bi 7.273 5.009 9.329
CELL_PARAMETERS angstrom
4.849 0.000 0.000
2.424 5.955 -0.142
2.424 0.076 10.815
```

Summary:
Calculated volume (Å³ per cell): 312
D(E_F) (states/eV per atom): 0.55



#Q
# Sr2Bi2Pt

Sr2Bi2Pt after structural relaxation (PBE, the Alexandria database). Values from VASP.

Cell and atoms, written as Quantum ESPRESSO input:
```
&SYSTEM
  ibrav = 0, nat = 10, ntyp = 3
/
ATOMIC_SPECIES
Bi 208.98 Bi.upf
Sr 87.62 Sr.upf
Pt 195.08 Pt.upf
ATOMIC_POSITIONS angstrom
Bi 2.123 -7.816 2.136
Bi 4.914 -4.668 2.421
Bi -0.782 -5.111 0.715
Sr 3.407 -2.421 4.220
Sr -0.531 -2.401 2.980
Pt 2.066 -4.890 1.568
Pt 0.000 0.000 0.000
Bi 2.008 -1.964 1.000
Sr -0.769 -6.464 3.669
Sr 3.169 -6.485 4.909
CELL_PARAMETERS angstrom
-2.803 -7.292 0.490
6.934 -2.487 2.646
-1.493 0.893 4.753
```

Summary:
Calculated volume (Å³ per cell): 310
D(E_F) (states/eV per atom): 0.21



Each structure's energy above the most stable one, in meV per atom: #P 0; #Q 155.



#P
# TaBi2Pt

TaBi2Pt after structural relaxation (PBE, the Alexandria database). Values from VASP.

Cell and atoms, written as Quantum ESPRESSO input:
```
&SYSTEM
  ibrav = 0, nat = 4, ntyp = 3
/
ATOMIC_SPECIES
Pt 195.08 Pt.upf
Bi 208.98 Bi.upf
Ta 180.95 Ta.upf
ATOMIC_POSITIONS angstrom
Pt -3.834 -4.775 -0.094
Bi -1.917 -2.387 -0.047
Bi -5.752 -7.162 -0.141
Ta 0.000 0.000 0.000
CELL_PARAMETERS angstrom
-3.651 -2.355 2.477
-3.713 -2.206 -2.521
-0.305 -4.989 -0.145
```

Summary:
Calculated volume (Å³ per cell): 88
D(E_F) (states/eV per atom): 0.81



#Q
# TaBi2Pt

TaBi2Pt after structural relaxation (PBE, the Alexandria database). Values from VASP.

Cell and atoms, written as Quantum ESPRESSO input:
```
&SYSTEM
  ibrav = 0, nat = 8, ntyp = 3
/
ATOMIC_SPECIES
Ta 180.95 Ta.upf
Bi 208.98 Bi.upf
Pt 195.08 Pt.upf
ATOMIC_POSITIONS angstrom
Ta 2.241 4.482 4.806
Bi 1.113 3.361 2.403
Bi 3.369 1.120 2.403
Pt 0.000 0.000 0.000
Ta 2.241 2.241 0.000
Bi 5.602 5.610 7.208
Pt 4.482 2.241 4.806
Bi 3.361 3.353 7.208
CELL_PARAMETERS angstrom
4.482 0.000 0.000
0.000 4.482 0.000
2.241 2.241 9.611
```

Summary:
Calculated volume (Å³ per cell): 193
D(E_F) (states/eV per atom): 1.18



Each structure's energy above the most stable one, in meV per atom: #P 0; #Q 97.